A geometry-optimized PuZr2Ga structure. Source: the Alexandria database, functional GGA-PBE.

It has space group R-3m (No. 166, hexagonal axes), with a = 3.2642 Å, b = 3.2642 Å, c = 28.8696 Å, α = 90.00°, β = 90.00° and γ = 120.00°. The asymmetric unit holds Pu at (0.0000, 0.0000, 0.0000), Zr at (0.0000, 0.0000, 0.2446) and Ga at (0.0000, 0.0000, 0.5000).

The distance to the lowest polymorph of the same formula comes out at 152 meV/atom.